A plane-wave DFT calculation with GGA+U was carried out for crystalline LiCr2F6 at its relaxed geometry.

Space group = No. 136
Raw total energy = -5.85 eV/atom

Cell and atoms, written as extended XYZ:
```
18
Lattice="4.826 0.000 0.000 0.000 4.826 0.000 0.000 0.000 9.270" Properties=species:S:1:pos:R:3 pbc="T T T"
Li 0.000 0.000 0.000
Li 2.413 2.413 4.635
Cr 0.000 0.000 3.078
Cr 0.000 0.000 6.192
Cr 2.413 2.413 1.557
Cr 2.413 2.413 7.713
F 0.915 0.915 4.635
F 0.939 0.939 1.594
F 0.939 0.939 7.676
F 1.474 3.352 3.041
F 1.474 3.352 6.228
F 1.498 3.328 0.000
F 3.328 1.498 0.000
F 3.352 1.474 3.041
F 3.352 1.474 6.228
F 3.887 3.887 1.594
F 3.887 3.887 7.676
F 3.911 3.911 4.635
```